Entry 1:
A plane-wave DFT calculation with PBE-GGA was carried out for crystalline LiYC at its relaxed geometry.

Computed properties:
The value obtained for the energy of formation from the pure elements is -2.0 kJ per mole of atoms.

abc: 3.882 3.882 7.648
angles: 104.69 104.69 59.98
Atoms (fractional coordinates):
Li 0.000 0.000 0.000
Li 0.676 0.676 0.028
Y 0.236 0.236 0.686
Y 0.455 0.455 0.342
C 0.333 0.333 0.014
C 0.848 0.848 0.514

***

Entry 2:
A plane-wave DFT calculation with PBE-GGA was carried out for crystalline Fe2Pb at its relaxed geometry.

Computed properties:
The value obtained for the energy of formation from the pure elements is 41.1 kJ per mole of atoms.

abc: 5.382 5.382 7.086
angles: 119.26 119.26 35.06
Atoms (fractional coordinates):
Fe 0.150 0.150 0.195
Fe 0.169 0.169 0.547
Fe 0.831 0.831 0.453
Fe 0.850 0.850 0.805
Pb 0.425 0.425 0.198
Pb 0.575 0.575 0.802

***

Entry 3:
A plane-wave DFT calculation with PBE-GGA was carried out for crystalline CuTc2Os at its relaxed geometry.

Computed properties:
The value obtained for the energy of formation from the pure elements is 19.3 kJ per mole of atoms.

abc: 2.707 3.867 5.337
angles: 90.00 90.00 90.00
Atoms (fractional coordinates):
Cu 0.000 0.000 0.000
Tc 0.000 0.000 0.495
Tc 0.500 0.500 0.761
Os 0.500 0.500 0.245

***

energy of formation from the pure elements of number 1 (LiYC)?
-2.0 kJ per mole of atoms